# 1
Material: CsO4
Method: DFT, GGA-PBE
State: relaxed

Computed properties:
energy relative to the elements, uncorrected: 1.55 eV per atom
relative energy among the computed polymorphs: 2038 meV/atom
calculated density: 2.18 g/cm³
crystal system: cubic
total magnetization: 7.00 Bohr magnetons per cell

a b c (Å): 5.3140 5.3140 5.3140
angles (deg): 90.00 90.00 90.00
Last column: nearest neighbours and their distance in Å.
Fractional positions:
1 Cs 0.0000 0.0000 0.0000  6 O 2.66
2 O 0.0000 0.0000 0.5000  2 Cs 2.66
3 O 0.0000 0.5000 0.0000  2 Cs 2.66
4 O 0.5000 0.0000 0.0000  2 Cs 2.66
5 O 0.5000 0.5000 0.5000  12 O 3.76

---

# 2
Material: CsOs2O9
Method: DFT, GGA-PBE
State: relaxed

Computed properties:
energy relative to the elements, uncorrected: -0.98 eV per atom
calculated density: 4.70 g/cm³
crystal system: monoclinic
total magnetization: 2.00 Bohr magnetons per cell

a b c (Å): 7.9758 7.9758 11.2669
angles (deg): 108.19 108.19 43.46
Last column: nearest neighbours and their distance in Å.
Fractional positions:
1 Cs 0.0105 0.9895 0.5000  10 O 3.18-3.55
2 Cs 0.9895 0.0105 0.0000  10 O 3.18-3.55
3 Os 0.2972 0.3896 0.7167  4 O 1.74-1.75
4 Os 0.3896 0.2972 0.2167  4 O 1.74-1.75
5 Os 0.5819 0.7382 0.3296  4 O 1.74-1.77
6 Os 0.7382 0.5819 0.8296  4 O 1.74-1.77
7 O 0.1621 0.6811 0.7070  1 Os 1.74
8 O 0.1973 0.2662 0.5977  1 Os 1.75
9 O 0.2077 0.5905 0.1815  1 Os 1.74
10 O 0.2652 0.9822 0.2952  1 Os 1.74
11 O 0.2662 0.1973 0.0977  1 Os 1.75
12 O 0.3350 0.3605 0.3697  1 Os 1.74
13 O 0.3605 0.3350 0.8697  1 Os 1.74
14 O 0.5086 0.7142 0.7027  1 Os 1.74
15 O 0.5891 0.5969 0.4257  1 Os 1.75
16 O 0.5905 0.2077 0.6815  1 Os 1.74
17 O 0.5969 0.5891 0.9257  1 Os 1.75
18 O 0.6192 0.9083 0.2440  2 Os 2.11-2.25, 1 O 2.28
19 O 0.6811 0.1621 0.2070  1 Os 1.74
20 O 0.7142 0.5086 0.2027  1 Os 1.74
21 O 0.7561 0.7930 0.4393  1 Os 1.77
22 O 0.7930 0.7561 0.9393  1 Os 1.77
23 O 0.9083 0.6192 0.7440  2 Os 2.11-2.25, 1 O 2.28
24 O 0.9822 0.2652 0.7952  1 Os 1.74

---

# 3
Material: CsOsO3
Method: DFT, GGA-PBE
State: relaxed

Computed properties:
energy relative to the elements, uncorrected: -0.96 eV per atom
calculated density: 6.05 g/cm³
crystal system: monoclinic
total magnetization: 2.00 Bohr magnetons per cell

a b c (Å): 8.4878 8.4878 7.7952
angles (deg): 92.10 92.10 21.30
Last column: nearest neighbours and their distance in Å.
Fractional positions:
1 Cs 0.1324 0.1324 0.1544  6 O 2.97-3.13, 2 Cs 3.14
2 Cs 0.8676 0.8676 0.8456  6 O 2.97-3.13, 2 Cs 3.14
3 Os 0.3953 0.3953 0.3093  1 O 1.78
4 Os 0.6047 0.6047 0.6907  1 O 1.78
5 O 0.0470 0.0470 0.7904  2 Os 2.01
6 O 0.1172 0.1172 0.5324  2 Os 2.01
7 O 0.3127 0.3127 0.1581  1 Os 1.78
8 O 0.6873 0.6873 0.8419  1 Os 1.78
9 O 0.8828 0.8828 0.4676  2 Os 2.01
10 O 0.9530 0.9530 0.2096  2 Os 2.01

---

# 4
Material: CsOs2O8
Method: DFT, GGA-PBE
State: relaxed

Computed properties:
energy relative to the elements, uncorrected: -1.17 eV per atom
calculated density: 2.95 g/cm³
crystal system: monoclinic
total magnetization: 1.13 Bohr magnetons per cell

a b c (Å): 7.9679 7.9679 7.9995
angles (deg): 119.95 119.95 60.40
Last column: nearest neighbours and their distance in Å.
Fractional positions:
1 Cs 0.0000 0.0000 0.0000  8 O 3.15
2 Os 0.2505 0.2505 0.7492  4 O 1.74
3 Os 0.7495 0.7495 0.2508  4 O 1.74
4 O 0.1613 0.1613 0.4822  1 Os 1.74
5 O 0.1607 0.1607 0.8376  1 Os 1.74
6 O 0.1624 0.5176 0.8385  1 Os 1.74
7 O 0.4824 0.8376 0.1615  1 Os 1.74
8 O 0.5176 0.1624 0.8385  1 Os 1.74
9 O 0.8376 0.4824 0.1615  1 Os 1.74
10 O 0.8393 0.8393 0.1624  1 Os 1.74
11 O 0.8387 0.8387 0.5178  1 Os 1.74

---

# 5
Material: Cs2OsO4
Method: DFT, GGA-PBE
State: relaxed

Computed properties:
energy relative to the elements, uncorrected: -1.39 eV per atom
calculated density: 4.11 g/cm³
crystal system: orthorhombic
total magnetization: 0.00 Bohr magnetons per cell

a b c (Å): 6.5965 6.5617 6.8964
angles (deg): 58.64 58.15 63.22
Last column: nearest neighbours and their distance in Å.
Fractional positions:
1 Cs 0.0000 0.0000 0.5000  4 O 3.03-3.04
2 Cs 0.5000 0.5000 0.0000  4 O 3.03-3.04
3 Os 0.2521 0.2521 0.7479  4 O 1.80
4 O 0.0147 0.3640 0.6360  1 Os 1.80
5 O 0.1391 0.4915 0.8609  1 Os 1.80
6 O 0.3640 0.0147 0.9853  1 Os 1.80
7 O 0.4915 0.1391 0.5085  1 Os 1.80

---

# 6
Material: Cs3OsO
Method: DFT, GGA-PBE
State: relaxed

Computed properties:
energy relative to the elements, uncorrected: 0.63 eV per atom
relative energy among the computed polymorphs: 0 meV/atom
calculated density: 4.97 g/cm³
crystal system: cubic
total magnetization: 2.39 Bohr magnetons per cell

a b c (Å): 5.8696 5.8696 5.8696
angles (deg): 90.00 90.00 90.00
Last column: nearest neighbours and their distance in Å.
Fractional positions:
1 Cs 0.0000 0.0000 0.5000  2 O 2.93
2 Cs 0.0000 0.5000 0.0000  2 O 2.93
3 Cs 0.5000 0.0000 0.0000  2 O 2.93
4 Os 0.5000 0.5000 0.5000  12 Cs 4.15
5 O 0.0000 0.0000 0.0000  6 Cs 2.93

---

# 7
Material: CsOsO3
Method: DFT, GGA-PBE
State: relaxed

Computed properties:
energy relative to the elements, uncorrected: -0.90 eV per atom
calculated density: 9.48 g/cm³
crystal system: cubic
total magnetization: 0.00 Bohr magnetons per cell

a b c (Å): 4.0216 4.0216 4.0216
angles (deg): 90.00 90.00 90.00
Last column: nearest neighbours and their distance in Å.
Fractional positions:
1 Cs 0.0000 0.0000 0.0000  12 O 2.84
2 Os 0.5000 0.5000 0.5000  6 O 2.01
3 O 0.0000 0.5000 0.5000  2 Os 2.01
4 O 0.5000 0.0000 0.5000  2 Os 2.01
5 O 0.5000 0.5000 0.0000  2 Os 2.01

---

# 8
Material: CsOs3O
Method: DFT, GGA-PBE
State: relaxed

Computed properties:
energy relative to the elements, uncorrected: 4.49 eV per atom
relative energy among the computed polymorphs: 2346 meV/atom
calculated density: 9.28 g/cm³
crystal system: cubic
total magnetization: 7.95 Bohr magnetons per cell

a b c (Å): 5.0488 5.0488 5.0488
angles (deg): 90.00 90.00 90.00
Last column: nearest neighbours and their distance in Å.
Fractional positions:
1 Cs 0.0000 0.0000 0.0000  6 Os 2.52
2 Os 0.0000 0.0000 0.5000  2 Cs 2.52
3 Os 0.0000 0.5000 0.0000  2 Cs 2.52
4 Os 0.5000 0.0000 0.0000  2 Cs 2.52
5 O 0.5000 0.5000 0.5000  12 Os 3.57

---

# 9
Material: Cs3Os2O8
Method: DFT, GGA-PBE
State: relaxed

Computed properties:
energy relative to the elements, uncorrected: -1.36 eV per atom
calculated density: 5.09 g/cm³
crystal system: trigonal
total magnetization: 3.00 Bohr magnetons per cell

a b c (Å): 8.7925 8.7925 8.7925
angles (deg): 43.85 43.85 43.85
Last column: nearest neighbours and their distance in Å.
Fractional positions:
1 Cs 0.0000 0.0000 0.0000  6 O 3.15
2 Cs 0.2026 0.2026 0.2026  10 O 3.07-3.38
3 Cs 0.7974 0.7974 0.7974  10 O 3.07-3.38
4 Os 0.4064 0.4064 0.4064  4 O 1.78-1.80
5 Os 0.5936 0.5936 0.5936  4 O 1.78-1.80
6 O 0.2711 0.7163 0.7163  1 Os 1.80
7 O 0.2837 0.2837 0.7289  1 Os 1.80
8 O 0.2837 0.7289 0.2837  1 Os 1.80
9 O 0.3315 0.3315 0.3315  1 Os 1.78
10 O 0.6685 0.6685 0.6685  1 Os 1.78
11 O 0.7163 0.2711 0.7163  1 Os 1.80
12 O 0.7163 0.7163 0.2711  1 Os 1.80
13 O 0.7289 0.2837 0.2837  1 Os 1.80

---

# 10
Material: CsOs2O6
Method: DFT, GGA-PBE
State: relaxed

Computed properties:
energy relative to the elements, uncorrected: -1.21 eV per atom
calculated density: 7.46 g/cm³
crystal system: cubic
total magnetization: 0.00 Bohr magnetons per cell

a b c (Å): 7.2657 7.2657 7.2657
angles (deg): 60.00 60.00 60.00
Last column: nearest neighbours and their distance in Å.
Fractional positions:
1 Cs 0.1250 0.1250 0.1250  6 O 3.20
2 Cs 0.8750 0.8750 0.8750  6 O 3.20
3 Os 0.0000 0.5000 0.5000  6 O 1.93
4 Os 0.5000 0.0000 0.5000  6 O 1.93
5 Os 0.5000 0.5000 0.0000  6 O 1.93
6 Os 0.5000 0.5000 0.5000  6 O 1.93
7 O 0.1861 0.1861 0.5639  2 Os 1.93
8 O 0.1861 0.5639 0.1861  2 Os 1.93
9 O 0.1861 0.5639 0.5639  2 Os 1.93
10 O 0.4361 0.4361 0.8139  2 Os 1.93
11 O 0.4361 0.8139 0.4361  2 Os 1.93
12 O 0.4361 0.8139 0.8139  2 Os 1.93
13 O 0.5639 0.1861 0.1861  2 Os 1.93
14 O 0.5639 0.1861 0.5639  2 Os 1.93
15 O 0.5639 0.5639 0.1861  2 Os 1.93
16 O 0.8139 0.4361 0.4361  2 Os 1.93
17 O 0.8139 0.4361 0.8139  2 Os 1.93
18 O 0.8139 0.8139 0.4361  2 Os 1.93

---

# 11
Material: Cs4OsO4
Method: DFT, GGA-PBE
State: relaxed

Computed properties:
energy relative to the elements, uncorrected: -1.22 eV per atom
calculated density: 5.59 g/cm³
crystal system: tetragonal
total magnetization: 2.00 Bohr magnetons per cell

a b c (Å): 6.9045 6.9045 6.9045
angles (deg): 101.15 101.15 127.81
Last column: nearest neighbours and their distance in Å.
Fractional positions:
1 Cs 0.1115 0.2937 0.4052  4 O 2.84-3.15
2 Cs 0.2937 0.8885 0.1822  4 O 2.84-3.15
3 Cs 0.7063 0.1115 0.8178  4 O 2.84-3.15
4 Cs 0.8885 0.7063 0.5948  4 O 2.84-3.15
5 Os 0.5000 0.5000 0.0000  4 O 1.92
6 O 0.2902 0.5639 0.8541  1 Os 1.92
7 O 0.4361 0.2902 0.7263  1 Os 1.92
8 O 0.5639 0.7098 0.2737  1 Os 1.92
9 O 0.7098 0.4361 0.1459  1 Os 1.92

---

# 12
Material: CsOs3O12
Method: DFT, GGA-PBE
State: relaxed

Computed properties:
energy relative to the elements, uncorrected: -1.08 eV per atom
calculated density: 3.18 g/cm³
crystal system: trigonal
total magnetization: 2.62 Bohr magnetons per cell

a b c (Å): 12.3073 12.3073 12.3073
angles (deg): 47.73 47.73 47.73
Last column: nearest neighbours and their distance in Å.
Fractional positions:
1 Cs 0.0000 0.0000 0.0000  9 O 3.07-3.33
2 Cs 0.5000 0.5000 0.5000  9 O 3.07-3.33
3 Os 0.0596 0.4149 0.6929  4 O 1.73-1.74
4 Os 0.1929 0.9149 0.5596  4 O 1.73-1.74
5 Os 0.4149 0.6929 0.0596  4 O 1.73-1.74
6 Os 0.5596 0.1929 0.9149  4 O 1.73-1.74
7 Os 0.6929 0.0596 0.4149  4 O 1.73-1.74
8 Os 0.9149 0.5596 0.1929  4 O 1.73-1.74
9 O 0.0959 0.4331 0.1002  1 Os 1.73
10 O 0.1002 0.0959 0.4331  1 Os 1.73
11 O 0.1318 0.2699 0.6407  1 Os 1.74
12 O 0.1347 0.9369 0.7198  1 Os 1.74
13 O 0.1407 0.7699 0.6318  1 Os 1.74
14 O 0.2198 0.4369 0.6347  1 Os 1.74
15 O 0.2699 0.6407 0.1318  1 Os 1.74
16 O 0.3489 0.9003 0.9550  1 Os 1.74
17 O 0.4003 0.8489 0.4550  1 Os 1.74
18 O 0.4331 0.1002 0.0959  1 Os 1.73
19 O 0.4369 0.6347 0.2198  1 Os 1.74
20 O 0.4550 0.4003 0.8489  1 Os 1.74
21 O 0.5959 0.6002 0.9331  1 Os 1.73
22 O 0.6002 0.9331 0.5959  1 Os 1.73
23 O 0.6318 0.1407 0.7699  1 Os 1.74
24 O 0.6347 0.2198 0.4369  1 Os 1.74
25 O 0.6407 0.1318 0.2699  1 Os 1.74
26 O 0.7198 0.1347 0.9369  1 Os 1.74
27 O 0.7699 0.6318 0.1407  1 Os 1.74
28 O 0.8489 0.4550 0.4003  1 Os 1.74
29 O 0.9003 0.9550 0.3489  1 Os 1.74
30 O 0.9331 0.5959 0.6002  1 Os 1.73
31 O 0.9369 0.7198 0.1347  1 Os 1.74
32 O 0.9550 0.3489 0.9003  1 Os 1.74

---

- calculated density of number 4 (CsOs2O8)?
  2.95 g/cm³